PBE Rb5Bi2H4, relaxed; uncorrected energy = -2.33 eV per atom; calculated volume = 444 Å³ per cell
1.0
-11.835 -4.639 3.160
-4.744 -7.110 -1.058
1.997 -2.378 5.207
Rb Bi H
5 2 4
direct
0.190 0.621 0.500
0.000 0.500 0.000
0.500 0.000 0.000
0.500 0.500 0.000
0.810 0.379 0.500
0.713 0.000 0.487
0.287 0.000 0.513
0.757 0.761 0.662
0.243 0.239 0.338
0.482 0.761 0.338
0.518 0.239 0.662